## Y2NiSnI (PBE)

Data for a relaxed structure of Y2NiSnI.

space-group type	P4/mmm
E above lowest polymorph	0	meV/atom
VASP energy	-4.053	eV/atom

extended XYZ file:
```
5
Lattice="5.8068 0.0000 0.0000 0.0000 5.8443 0.0000 0.0000 0.0000 5.8068" Properties=species:S:1:pos:R:3 pbc="T T T"
I 0.0000 2.9221 0.0000
Y 0.0000 0.0000 2.9034
Y 2.9034 0.0000 0.0000
Sn 0.0000 0.0000 0.0000
Ni 2.9034 2.9221 2.9034
```

=====

## Sr3NiI (PBE)

Data for a relaxed structure of Sr3NiI.

space-group type	Pm-3m
E above lowest polymorph	174	meV/atom
VASP energy	-2.795	eV/atom

extended XYZ file:
```
5
Lattice="-4.2079 -2.8780 2.9219 2.4173 -5.1222 -1.5642 3.3132 0.0819 4.8521" Properties=species:S:1:pos:R:3 pbc="T T T"
I 0.7613 -3.9592 3.1049
Sr 1.2086 -2.5611 -0.7821
Sr 1.6566 0.0409 2.4260
Sr -2.1039 -1.4390 1.4609
Ni 0.0000 0.0000 0.0000
```

=====

## SrNiI2 (PBE)

Data for a relaxed structure of SrNiI2.

space-group type	R-3m
E above lowest polymorph	343	meV/atom
VASP energy	-2.846	eV/atom

extended XYZ file:
```
4
Lattice="-3.8406 1.3876 -0.8728 -1.1659 0.5590 -3.9706 -4.7983 -8.2203 -1.9442" Properties=species:S:1:pos:R:3 pbc="T T T"
I -3.7167 -5.1551 -1.8303
I -6.0880 -1.1186 -4.9574
Sr 0.0000 0.0000 0.0000
Ni -4.9024 -3.1369 -3.3938
```

=====

## Sr2NiI (PBE)

Data for a relaxed structure of Sr2NiI.

space-group type	I-42d
E above lowest polymorph	258	meV/atom
VASP energy	-2.984	eV/atom

extended XYZ file:
```
8
Lattice="8.2201 0.0000 0.0000 0.0000 8.2201 0.0000 4.1100 4.1100 4.4120" Properties=species:S:1:pos:R:3 pbc="T T T"
I 0.0000 0.0000 0.0000
I 8.2201 4.1100 2.2060
Sr 5.7325 2.0550 1.1030
Sr 2.4875 6.1650 1.1030
Sr 6.1650 6.5976 3.3090
Sr 10.2751 9.8426 3.3090
Ni 4.1100 4.1100 0.0000
Ni 4.1100 8.2201 2.2060
```

=====

## SrNi2I (PBE)

Data for a relaxed structure of SrNi2I.

space-group type	Fm-3m
E above lowest polymorph	295	meV/atom
VASP energy	-3.319	eV/atom

extended XYZ file:
```
4
Lattice="0.9201 -2.0315 4.3262 -1.4344 2.2216 4.0862 -3.6411 -1.8670 2.6356" Properties=species:S:1:pos:R:3 pbc="T T T"
I -2.0777 -0.8384 5.5240
Sr 0.0000 0.0000 0.0000
Ni -1.0388 -0.4192 2.7620
Ni -3.1165 -1.2577 8.2860
```

=====

## SrNiI2 (PBE)

Data for a relaxed structure of SrNiI2.

space-group type	I-42d
E above lowest polymorph	0	meV/atom
VASP energy	-3.188	eV/atom

extended XYZ file:
```
8
Lattice="-4.6914 -4.7026 0.6878 4.4559 -4.6883 -1.6617 1.4589 -5.3712 5.6471" Properties=species:S:1:pos:R:3 pbc="T T T"
I -1.6293 -4.4860 1.5780
I 2.1822 -5.2428 0.5150
I 1.3678 -7.9308 3.7351
I 0.5262 -11.8646 3.5181
Sr 0.0000 0.0000 0.0000
Sr -1.6751 -7.3846 2.9239
Ni -0.1177 -4.6954 -0.4870
Ni 2.8985 -7.3775 1.7492
```

=====

## SrNi3I (PBE)

Data for a relaxed structure of SrNi3I.

space-group type	Pm-3m
E above lowest polymorph	1091	meV/atom
VASP energy	-2.534	eV/atom

extended XYZ file:
```
5
Lattice="4.9432 0.0000 0.0000 0.0000 4.9432 0.0000 0.0000 0.0000 4.9432" Properties=species:S:1:pos:R:3 pbc="T T T"
I 2.4716 2.4716 2.4716
Sr 0.0000 0.0000 0.0000
Ni 0.0000 2.4716 0.0000
Ni 0.0000 0.0000 2.4716
Ni 2.4716 0.0000 0.0000
```

=====

## SrNi2I (PBE)

Data for a relaxed structure of SrNi2I.

space-group type	I4_1/amd
E above lowest polymorph	0	meV/atom
VASP energy	-3.614	eV/atom

extended XYZ file:
```
8
Lattice="-0.7230 -2.9984 3.8402 -1.6119 -3.5164 -3.0491 6.6244 -6.1457 -0.3925" Properties=species:S:1:pos:R:3 pbc="T T T"
I 0.0000 0.0000 0.0000
I 2.3670 -6.2007 1.9216
Sr -1.1674 -3.2574 0.3956
Sr 1.9226 -6.4598 -1.5230
Ni 0.8220 -4.5997 2.8811
Ni 0.0161 -6.3576 1.3562
Ni 4.4958 -6.1731 0.7647
Ni 4.1341 -7.6725 2.6845
```

=====

## Sr2NiI6 (PBE)

Data for a relaxed structure of Sr2NiI6.

space-group type	P4_2/mnm
VASP energy	-3.102	eV/atom

extended XYZ file:
```
18
Lattice="7.3762 0.0000 0.0000 0.0000 7.3762 0.0000 0.0000 0.0000 13.9780" Properties=species:S:1:pos:R:3 pbc="T T T"
Sr 0.0000 0.0000 4.6823
Sr 3.6881 3.6881 11.6713
Sr 3.6881 3.6881 2.3067
Sr 0.0000 0.0000 9.2957
Ni 0.0000 0.0000 0.0000
Ni 3.6881 3.6881 6.9890
I 2.3381 2.3381 4.9784
I 5.0381 5.0381 4.9784
I 1.3500 6.0262 11.9674
I 6.0262 1.3500 11.9674
I 1.3500 6.0262 2.0106
I 6.0262 1.3500 2.0106
I 2.3381 2.3381 8.9996
I 5.0381 5.0381 8.9996
I 2.0230 2.0230 0.0000
I 5.3532 5.3532 0.0000
I 1.6651 5.7111 6.9890
I 5.7111 1.6651 6.9890
```

=====

## Sr2NiI (PBE)

Data for a relaxed structure of Sr2NiI.

space-group type	R3m
E above lowest polymorph	0	meV/atom
VASP energy	-3.242	eV/atom

extended XYZ file:
```
4
Lattice="4.3447 0.0000 0.0000 2.1724 3.7626 0.0000 2.1724 1.2542 8.3356" Properties=species:S:1:pos:R:3 pbc="T T T"
Sr 2.1724 1.2542 6.6965
Sr 2.1724 1.2542 1.6324
Ni 4.3447 2.5084 0.0009
I 4.3447 2.5084 4.1736
```

=====

## SrNiI2 (PBE)

Data for a relaxed structure of SrNiI2.

space-group type	Fm-3m
E above lowest polymorph	229	meV/atom
VASP energy	-2.959	eV/atom

extended XYZ file:
```
4
Lattice="0.0000 3.8830 3.8830 3.8830 0.0000 3.8830 3.8830 3.8830 0.0000" Properties=species:S:1:pos:R:3 pbc="T T T"
I 1.9415 1.9415 1.9415
I 5.8245 5.8245 5.8245
Sr 3.8830 3.8830 3.8830
Ni 0.0000 0.0000 0.0000
```

=====

## Sr3NiI (PBE)

Data for a relaxed structure of Sr3NiI.

space-group type	P2_1/m
E above lowest polymorph	0	meV/atom
VASP energy	-2.969	eV/atom

extended XYZ file:
```
10
Lattice="4.2071 0.0000 0.0000 0.0000 9.3278 -3.4687 0.0000 -0.1485 9.7070" Properties=species:S:1:pos:R:3 pbc="T T T"
Sr 1.0518 5.7475 0.6736
Sr 3.1553 3.4318 5.5646
Sr 1.0518 0.0611 6.6919
Sr 3.1553 2.4184 -0.3356
Sr 3.1553 9.1182 -0.4536
Sr 1.0518 6.7609 6.5738
Ni 3.1553 5.2069 -1.5437
Ni 1.0518 3.9724 7.7820
I 3.1553 6.4183 3.5911
I 1.0518 2.7610 2.6471
```

=====

## Sr3Ni5I12 (PBE)

Data for a relaxed structure of Sr3Ni5I12.

space-group type	Ia-3d
VASP energy	-3.267	eV/atom

extended XYZ file:
```
80
Lattice="-4.5044 2.8419 14.1536 7.0283 -13.3821 -0.4622 9.5096 10.8475 -4.5375" Properties=species:S:1:pos:R:3 pbc="T T T"
Sr 0.4460 -1.5309 9.8747
Sr 2.5185 -6.1940 11.4706
Sr 9.5255 -2.1911 2.1250
Sr 3.3185 3.1055 1.7790
Sr -0.6855 3.5258 11.1922
Sr 5.0809 -4.5862 3.8844
Sr 6.9525 4.8936 5.2695
Sr 12.7188 -3.2184 -2.0383
Sr 8.7149 -2.7982 7.3748
Sr 2.5079 2.4985 7.0289
Sr 9.5149 6.5013 -2.3167
Sr 11.5874 1.8383 -0.7208
Ni 4.4499 -1.9512 0.4615
Ni 3.5141 -6.6910 -0.2311
Ni 0.0000 0.0000 0.0000
Ni 1.2566 -0.9239 4.6249
Ni 2.5026 6.8447 4.8080
Ni 1.2619 -5.2701 6.8457
Ni 8.2742 -5.6135 -0.2790
Ni 5.8211 9.9503 6.5871
Ni 4.5804 -2.1645 8.6248
Ni 6.3215 7.5286 1.8467
Ni 5.7118 -7.2213 7.3072
Ni 6.0167 0.1537 4.5769
Ni -2.2522 1.4209 7.0768
Ni 4.7548 5.4238 -2.2688
Ni 7.4530 2.4719 0.5291
Ni 6.2123 -9.6429 2.5668
Ni 8.2689 -1.2673 -2.4998
Ni 3.7592 5.9209 9.4329
Ni 10.7768 1.2312 4.5290
Ni 7.5834 2.2585 8.6924
I -2.1576 0.6759 9.7714
I 6.0732 -1.6541 2.4430
I 1.1419 0.8755 12.3308
I 0.1571 0.0377 6.7500
I 8.7549 -0.3299 4.8821
I 1.4800 -3.2137 12.7741
I 8.1161 -5.2977 2.2754
I 7.0893 -10.7197 0.3940
I 10.6787 -4.0415 4.8734
I 2.6777 -3.8933 8.8269
I 3.4355 0.0313 9.3440
I 2.8649 -9.5696 11.0902
I 9.3547 -3.4066 -1.0614
I 1.9319 -3.3998 4.8764
I 9.6417 -7.6941 -0.9505
I 4.5937 6.0905 3.1101
I 2.7884 0.0064 0.2228
I 3.5190 -6.7171 6.0476
I 5.5794 -6.6551 9.8195
I 3.2917 -4.1906 1.0031
I 12.7522 -3.3450 1.3738
I 5.5799 -2.0447 6.2507
I 6.6285 -2.7515 10.0775
I 7.3378 7.9100 7.0189
I 6.4535 2.3521 2.9032
I 5.4049 3.0588 -0.9236
I 4.6956 -7.6026 2.1350
I 6.4540 6.9625 -0.6656
I -0.7189 3.6523 7.7801
I 8.7417 4.4979 8.1508
I 8.5144 7.0244 3.1063
I 7.4396 -5.7831 6.0438
I 9.2449 0.3009 8.9311
I 2.3917 8.0014 10.1044
I 2.6787 3.7140 10.2152
I 9.1685 9.8769 -1.9363
I 10.1014 3.7072 4.2775
I 1.3547 4.3489 4.2805
I 9.3557 4.2007 0.3270
I 8.5978 0.2761 -0.1901
I 4.9441 11.0271 8.7599
I 3.9173 5.6050 6.8785
I 11.8763 0.2697 2.4039
I 10.5534 3.5211 -3.6202
I 3.2784 0.6373 4.2718
I 10.8915 -0.5681 -3.1769
I 5.9601 1.9615 6.7109
I 14.1910 -0.3686 -0.6175
```

=====

## SrNi3I (PBE)

Data for a relaxed structure of SrNi3I.

space-group type	Pm-3m
E above lowest polymorph	0	meV/atom
VASP energy	-3.625	eV/atom

extended XYZ file:
```
5
Lattice="4.7630 0.0000 0.0000 0.0000 4.7630 0.0000 0.0000 0.0000 4.7630" Properties=species:S:1:pos:R:3 pbc="T T T"
I 0.0000 0.0000 0.0000
Sr 2.3815 2.3815 2.3815
Ni 0.0000 2.3815 0.0000
Ni 0.0000 0.0000 2.3815
Ni 2.3815 0.0000 0.0000
```

=====

## Sr2NiI (PBE)

Data for a relaxed structure of Sr2NiI.

space-group type	Fm-3m
E above lowest polymorph	300	meV/atom
VASP energy	-2.942	eV/atom

extended XYZ file:
```
4
Lattice="0.8222 -4.8324 -2.7393 2.9071 -4.1449 2.4291 -2.6341 -4.6648 1.6831" Properties=species:S:1:pos:R:3 pbc="T T T"
I 0.5476 -6.8210 0.6864
Sr 0.2738 -3.4105 0.3432
Sr 0.8214 -10.2316 1.0297
Ni 0.0000 0.0000 0.0000
```

=====

## SrNiTeI2 (PBE)

Data for a relaxed structure of SrNiTeI2.

space-group type	P4/mmm
VASP energy	-3.351	eV/atom

extended XYZ file:
```
5
Lattice="5.3041 0.0000 0.0000 0.0000 5.3041 0.0000 0.0000 0.0000 5.4626" Properties=species:S:1:pos:R:3 pbc="T T T"
I 0.0000 2.6521 0.0000
I 2.6521 0.0000 0.0000
Sr 2.6521 2.6521 2.7313
Te 0.0000 0.0000 2.7313
Ni 0.0000 0.0000 0.0000
```

=====

## TaNi2I (PBE)

Data for a relaxed structure of TaNi2I.

space-group type	I-42d
E above lowest polymorph	0	meV/atom
VASP energy	-5.541	eV/atom

extended XYZ file:
```
8
Lattice="-6.0118 0.1958 2.0039 1.5499 -3.5777 4.9994 -1.3840 1.7563 5.7060" Properties=species:S:1:pos:R:3 pbc="T T T"
I -2.2310 -1.6910 3.5016
I -1.0325 -1.7562 7.1035
Ni -4.0262 0.1180 3.3427
Ni -0.0122 -1.7763 4.7628
Ni -2.7412 0.1184 6.8088
Ni -4.9121 -1.7114 10.5043
Ta 0.0000 0.0000 0.0000
Ta -4.8134 0.1305 5.6058
```

=====

## Ta3NiI (PBE)

Data for a relaxed structure of Ta3NiI.

space-group type	Pm-3m
E above lowest polymorph	0	meV/atom
VASP energy	-7.459	eV/atom

extended XYZ file:
```
5
Lattice="4.7024 0.0000 0.0000 0.0000 4.7024 0.0000 0.0000 0.0000 4.7024" Properties=species:S:1:pos:R:3 pbc="T T T"
I 2.3512 2.3512 2.3512
Ni 0.0000 0.0000 0.0000
Ta 0.0000 2.3512 0.0000
Ta 0.0000 0.0000 2.3512
Ta 2.3512 0.0000 0.0000
```

=====

## TaNi3I (PBE)

Data for a relaxed structure of TaNi3I.

space-group type	Pm-3m
E above lowest polymorph	0	meV/atom
VASP energy	-4.861	eV/atom

extended XYZ file:
```
5
Lattice="-2.7276 -1.4059 -3.5328 -2.9730 -1.9219 3.0602 -2.3704 4.0282 0.2271" Properties=species:S:1:pos:R:3 pbc="T T T"
I -4.0355 0.3502 -0.1228
Ni -1.4865 -0.9610 1.5301
Ni -1.1852 2.0141 0.1135
Ni -1.3638 -0.7029 -1.7664
Ta 0.0000 0.0000 0.0000
```

=====

## TaNiI2 (PBE)

Data for a relaxed structure of TaNiI2.

space-group type	I-42d
VASP energy	-4.359	eV/atom

extended XYZ file:
```
8
Lattice="-0.7057 5.2615 -3.2602 -6.0461 0.1166 1.4969 -2.1788 5.7004 3.7191" Properties=species:S:1:pos:R:3 pbc="T T T"
I -1.7172 4.5466 -0.8083
I -4.4361 2.3372 1.3454
I -4.3746 6.2961 2.1797
I -7.3333 8.9771 1.1948
Ni -3.3759 2.6890 -0.8816
Ni -5.8004 4.2530 2.1672
Ta 0.0000 0.0000 0.0000
Ta -3.1302 6.8254 -0.2114
```

=====

## TaNiI2 (PBE)

Data for a relaxed structure of TaNiI2.

space-group type	Fm-3m
VASP energy	-4.361	eV/atom

extended XYZ file:
```
4
Lattice="4.3763 -1.3260 1.6218 1.9111 2.1855 3.8874 0.4054 -2.4170 4.1874" Properties=species:S:1:pos:R:3 pbc="T T T"
I 1.6732 -0.3894 2.4242
I 5.0196 -1.1681 7.2725
Ni 0.0000 0.0000 0.0000
Ta 3.3464 -0.7788 4.8483
```

=====

## TaNi2I (PBE)

Data for a relaxed structure of TaNi2I.

space-group type	Fm-3m
E above lowest polymorph	66	meV/atom
VASP energy	-5.474	eV/atom

extended XYZ file:
```
4
Lattice="3.7481 -1.7043 1.8692 -0.1860 -3.8930 2.2928 1.8899 -3.7301 -1.7211" Properties=species:S:1:pos:R:3 pbc="T T T"
I 0.0000 0.0000 0.0000
Ni 1.3630 -2.3319 0.6102
Ni 4.0890 -6.9956 1.8307
Ta 2.7260 -4.6637 1.2205
```

=====

## Ta2NiI (PBE)

Data for a relaxed structure of Ta2NiI.

space-group type	Fm-3m
E above lowest polymorph	0	meV/atom
VASP energy	-7.074	eV/atom

extended XYZ file:
```
4
Lattice="0.0000 3.2659 3.2659 3.2659 0.0000 3.2659 3.2659 3.2659 0.0000" Properties=species:S:1:pos:R:3 pbc="T T T"
I 3.2659 3.2659 3.2659
Ni 0.0000 0.0000 0.0000
Ta 1.6329 1.6329 1.6329
Ta 4.8988 4.8988 4.8988
```